Nd5SmHo PBE optimized geometry; total energy = -3.77 eV per atom; formation energy from the elements = 6.78 eV/f.u.
1.0
5.5612 -0.0016 2.0353
2.1642 7.2818 2.6909
0.2062 0.5826 8.0354
Nd Ho Sm
5 1 1
Direct
0.7514 0.2486 0.2486 Nd
0.2486 0.7514 0.7514 Nd
0.0000 0.3235 0.6765 Nd
0.5000 0.0000 0.0000 Nd
0.0000 0.6765 0.3235 Nd
0.5000 0.5000 0.5000 Ho
0.0000 0.0000 0.0000 Sm